Record 1
Material: ThUCo4
Method: DFT, PBE
State: optimized geometry

Results
formation enthalpy at 0 K: -0.194 eV per atom

Cell: 7.0596 7.0596 7.0596 Å, 90.00 90.00 90.00°
Space group F-43m (No. 216)
Unique sites:
Th: 0.0000 0.0000 0.0000 x4
U: 0.2500 0.2500 0.7500 x4
Co: 0.1237 0.1237 0.3763 x16

---

Record 2
Material: ZnCoCu4
Method: DFT, PBE
State: optimized geometry

Results
formation enthalpy at 0 K: 0.212 eV per atom

Cell: 6.7271 6.7271 6.7271 Å, 90.00 90.00 90.00°
Space group F-43m (No. 216)
Unique sites:
Zn: 0.0000 0.0000 0.0000 x4
Co: 0.2500 0.2500 0.2500 x4
Cu: 0.1248 0.1248 0.6248 x16

---

Record 3
Material: CrSiMo2
Method: DFT, PBE
State: optimized geometry

Results
ΔE_f (raw): 0.02 eV/f.u.

Cell: 3.1841 4.3751 8.1173 Å, 90.00 90.00 90.00°
Space group Cmm2 (No. 35)
Unique sites:
Cr: 0.0000 0.0000 0.0000 x2
Si: 0.0000 0.5000 0.2220 x2
Mo: 0.0000 0.0000 0.4716 x2
Mo: 0.0000 0.5000 0.7488 x2

---

Record 4
Material: TbCeSe2N
Method: DFT, PBE
State: optimized geometry

Results
ΔE_f (raw): -8.56 eV/f.u.

Cell: 4.0137 4.0137 14.6342 Å, 90.00 90.00 90.00°
Space group P4/nmm (No. 129, origin choice 2)
Unique sites:
Tb: 0.2500 0.2500 0.1268 x2
Ce: 0.2500 0.2500 0.5768 x2
Se: 0.2500 0.2500 0.3081 x2
Se: 0.2500 0.2500 0.9111 x2
N: 0.2500 0.7500 0.5000 x2

---

Record 5
Material: Y2Br2F
Method: DFT, PBE
State: optimized geometry

Results
ΔE_f (raw): -8.65 eV/f.u.

Cell: 6.8678 6.8678 5.0992 Å, 90.00 90.00 90.00°
Space group P4/mbm (No. 127)
Unique sites:
Y: 0.1777 0.3223 0.0000 x4
Br: 0.1771 0.6771 0.5000 x4
F: 0.0000 0.0000 0.0000 x2

---

no.,volume (A^3/atom)
1,14.660
2,12.684
3,14.135
4,23.575
5,24.051